Entry 1:
An optimized crystal structure of YGa2Co, computed with GGA-PBE.

The structure in POSCAR format:
```
YGa2Co
1.0
2.0507 -8.9077 0.0000
2.0507 8.9077 0.0000
0.0000 0.0000 3.9461
Co Ga Y
2 4 2
Direct
0.5749 0.4251 0.0000 Co
0.4251 0.5749 0.0000 Co
0.0000 0.0000 0.0000 Ga
0.7087 0.2913 0.0000 Ga
0.2913 0.7087 0.0000 Ga
0.5000 0.5000 0.5000 Ga
0.8577 0.1423 0.5000 Y
0.1423 0.8577 0.5000 Y
```

Calculated values
Electronic total energy   -5.4571 eV/atom
Size of the total moment   0.01 μB per cell
Mass density   6.6 g/cm3


Entry 2:
An optimized crystal structure of YGaCo, computed with GGA-PBE.

The structure in POSCAR format:
```
YGaCo
1.0
-1.5657 3.8193 0.8429
-0.9750 -3.2689 2.4723
5.7052 1.4262 4.1355
Co Ga Y
2 2 2
Direct
0.3333 0.6667 0.0006 Co
0.6667 0.3333 0.5006 Co
0.3333 0.6667 0.4996 Ga
0.6667 0.3333 0.9996 Ga
0.0000 0.0000 0.2498 Y
0.0000 0.0000 0.7498 Y
```

Calculated values
Electronic total energy   -5.9638 eV/atom
Size of the total moment   0.07 μB per cell
Mass density   6.5 g/cm3


Entry 3:
An optimized crystal structure of YGaCo, computed with GGA-PBE.

The structure in POSCAR format:
```
YGaCo
1.0
4.2014 0.0000 0.0000
-2.1007 3.6385 0.0000
0.0000 0.0000 7.2742
Co Ga Y
2 2 2
Direct
0.3333 0.6667 0.2500 Co
0.6667 0.3333 0.7500 Co
0.6667 0.3333 0.2500 Ga
0.3333 0.6667 0.7500 Ga
0.0000 0.0000 0.0000 Y
0.0000 0.0000 0.5000 Y
```

Calculated values
Electronic total energy   -5.9646 eV/atom
Size of the total moment   0.05 μB per cell
Mass density   6.5 g/cm3


Entry 4:
An optimized crystal structure of Y2Ga8Co, computed with GGA-PBE.

The structure in POSCAR format:
```
Y2Ga8Co
1.0
-4.1335 0.6518 -0.6568
-0.9143 -3.3391 2.4406
-0.3735 6.6271 8.9269
Co Ga Y
1 8 2
Direct
0.0000 0.0000 0.0000 Co
0.5000 0.0000 0.1157 Ga
0.0000 0.5000 0.1157 Ga
0.5000 0.5000 0.2985 Ga
0.5000 0.0000 0.5000 Ga
0.0000 0.5000 0.5000 Ga
0.5000 0.5000 0.7015 Ga
0.5000 0.0000 0.8843 Ga
0.0000 0.5000 0.8843 Ga
0.0000 0.0000 0.3059 Y
0.0000 0.0000 0.6941 Y
```

Calculated values
Electronic total energy   -4.5128 eV/atom
Size of the total moment   0.02 μB per cell
Mass density   6.6 g/cm3


Entry 5:
An optimized crystal structure of YGa2Co, computed with GGA-PBE.

The structure in POSCAR format:
```
YGa2Co
1.0
0.0000 3.2402 3.2402
3.2402 0.0000 3.2402
3.2402 3.2402 0.0000
Co Ga Y
1 2 1
Direct
0.5000 0.5000 0.5000 Co
0.0000 0.0000 0.0000 Ga
0.7500 0.7500 0.7500 Ga
0.2500 0.2500 0.2500 Y
```

Calculated values
Electronic total energy   -5.0774 eV/atom
Size of the total moment   0.47 μB per cell
Mass density   7.0 g/cm3


Entry 6:
An optimized crystal structure of YGa2Co, computed with GGA-PBE.

The structure in POSCAR format:
```
YGa2Co
1.0
-4.0941 0.8119 1.9078
-1.4172 4.3175 0.6410
-3.4224 1.6935 -2.5455
Co Ga Y
1 2 1
Direct
0.2500 0.2500 0.2500 Co
0.0000 0.0000 0.0000 Ga
0.7500 0.7500 0.7500 Ga
0.5000 0.5000 0.5000 Y
```

Calculated values
Electronic total energy   -5.0777 eV/atom
Size of the total moment   0.49 μB per cell
Mass density   7.0 g/cm3


Entry 7:
An optimized crystal structure of Y2Ga5Co3, computed with GGA-PBE.

The structure in POSCAR format:
```
Y2Ga5Co3
1.0
-4.8058 6.2103 2.7587
4.8058 -6.2103 2.7587
4.8058 6.2103 -2.7587
Co Ga Y
6 10 4
Direct
0.2500 0.2500 0.0000 Co
0.7500 0.7500 0.0000 Co
0.3504 0.9153 0.2657 Co
0.8504 0.5847 0.4352 Co
0.1496 0.4153 0.5648 Co
0.6496 0.0847 0.7343 Co
0.4162 0.6800 0.0963 Ga
0.4541 0.2500 0.2041 Ga
0.9541 0.7500 0.2041 Ga
0.0838 0.1800 0.2638 Ga
0.7500 0.2500 0.5000 Ga
0.2500 0.7500 0.5000 Ga
0.9162 0.8200 0.7362 Ga
0.0459 0.2500 0.7959 Ga
0.5459 0.7500 0.7959 Ga
0.5838 0.3200 0.9037 Ga
0.8557 0.2762 0.1319 Y
0.6443 0.7762 0.4205 Y
0.3557 0.2238 0.5795 Y
0.1443 0.7238 0.8681 Y
```

Calculated values
Electronic total energy   -5.4466 eV/atom
Size of the total moment   0.02 μB per cell
Mass density   7.1 g/cm3


Entry 8:
An optimized crystal structure of Y4GaCo4, computed with GGA-PBE.

The structure in POSCAR format:
```
Y4GaCo4
1.0
0.0000 0.0000 4.0706
5.0875 -0.0676 -2.0353
-2.9843 8.3822 0.0000
Co Ga Y
4 1 4
Direct
0.0902 0.1804 0.1202 Co
0.0372 0.0745 0.3540 Co
0.9628 0.9255 0.6460 Co
0.9098 0.8196 0.8798 Co
0.5000 0.0000 0.5000 Ga
0.3906 0.7813 0.1154 Y
0.7456 0.4912 0.3390 Y
0.2544 0.5088 0.6610 Y
0.6094 0.2187 0.8846 Y
```

Calculated values
Electronic total energy   -6.6813 eV/atom
Size of the total moment   0.07 μB per cell
Mass density   6.4 g/cm3


Entry 9:
An optimized crystal structure of Y2Ga2Co15, computed with GGA-PBE.

The structure in POSCAR format:
```
Y2Ga2Co15
1.0
8.3401 0.0000 0.0000
-4.1700 7.2222 0.0000
0.0000 0.0000 8.1741
Co Ga Y
30 4 4
Direct
0.5000 0.0000 0.0000 Co
0.0000 0.5000 0.0000 Co
0.5000 0.5000 0.0000 Co
0.8371 0.6743 0.0253 Co
0.3258 0.1629 0.0253 Co
0.8371 0.1629 0.0253 Co
0.0467 0.3744 0.2500 Co
0.3276 0.3744 0.2500 Co
0.0467 0.6724 0.2500 Co
0.6257 0.6724 0.2500 Co
0.3276 0.9533 0.2500 Co
0.6257 0.9533 0.2500 Co
0.3258 0.1629 0.4747 Co
0.8371 0.1629 0.4747 Co
0.8371 0.6743 0.4747 Co
0.5000 0.0000 0.5000 Co
0.0000 0.5000 0.5000 Co
0.5000 0.5000 0.5000 Co
0.1629 0.3257 0.5253 Co
0.1629 0.8371 0.5253 Co
0.6742 0.8371 0.5253 Co
0.3743 0.0467 0.7500 Co
0.6724 0.0467 0.7500 Co
0.3743 0.3276 0.7500 Co
0.9533 0.3276 0.7500 Co
0.6724 0.6256 0.7500 Co
0.9533 0.6256 0.7500 Co
0.1629 0.8371 0.9747 Co
0.6742 0.8371 0.9747 Co
0.1629 0.3257 0.9747 Co
0.3333 0.6667 0.0960 Ga
0.3333 0.6667 0.4040 Ga
0.6667 0.3333 0.5960 Ga
0.6667 0.3333 0.9040 Ga
0.0000 0.0000 0.2500 Y
0.6666 0.3333 0.2500 Y
0.0000 0.0000 0.7500 Y
0.3334 0.6667 0.7500 Y
```

Calculated values
Electronic total energy   -6.6028 eV/atom
Size of the total moment   0.55 μB per cell
Mass density   8.1 g/cm3


Entry 10:
An optimized crystal structure of YGa5Co, computed with GGA-PBE.

The structure in POSCAR format:
```
YGa5Co
1.0
4.2205 0.0000 0.0000
0.0000 4.2205 0.0000
0.0000 0.0000 6.8229
Co Ga Y
1 5 1
Direct
0.0000 0.0000 0.5000 Co
0.5000 0.5000 0.0000 Ga
0.5000 0.0000 0.3115 Ga
0.0000 0.5000 0.3115 Ga
0.5000 0.0000 0.6885 Ga
0.0000 0.5000 0.6885 Ga
0.0000 0.0000 0.0000 Y
```

Calculated values
Electronic total energy   -4.5694 eV/atom
Size of the total moment   0.00 μB per cell
Mass density   6.8 g/cm3


Entry 11:
An optimized crystal structure of YGaCo, computed with GGA-PBE.

The structure in POSCAR format:
```
YGaCo
1.0
2.1019 -0.2183 4.0194
2.3967 3.5515 1.5048
-1.5324 2.4544 3.4998
Co Ga Y
1 1 1
Direct
0.5000 0.5000 0.5000 Co
0.0000 0.0000 0.0000 Ga
0.2500 0.2500 0.2500 Y
```

Calculated values
Electronic total energy   -5.0284 eV/atom
Size of the total moment   0.83 μB per cell
Mass density   5.5 g/cm3


Entry 12:
An optimized crystal structure of Y5GaCo5, computed with GGA-PBE.

The structure in POSCAR format:
```
Y5GaCo5
1.0
2.0324 -5.0985 0.0000
2.0324 5.0985 0.0000
0.0000 0.0000 20.5090
Co Ga Y
10 2 10
Direct
0.5808 0.4192 0.0584 Co
0.7015 0.2985 0.1538 Co
0.5869 0.4131 0.2500 Co
0.7015 0.2985 0.3462 Co
0.5808 0.4192 0.4416 Co
0.4192 0.5808 0.5584 Co
0.2985 0.7015 0.6538 Co
0.4131 0.5869 0.7500 Co
0.2985 0.7015 0.8462 Co
0.4192 0.5808 0.9416 Co
0.0000 0.0000 0.0000 Ga
0.0000 0.0000 0.5000 Ga
0.2915 0.7085 0.0657 Y
0.0011 0.9989 0.1570 Y
0.2881 0.7119 0.2500 Y
0.0011 0.9989 0.3430 Y
0.2915 0.7085 0.4343 Y
0.7085 0.2915 0.5657 Y
0.9989 0.0011 0.6570 Y
0.7119 0.2881 0.7500 Y
0.9989 0.0011 0.8430 Y
0.7085 0.2915 0.9343 Y
```

Calculated values
Electronic total energy   -6.7377 eV/atom
Size of the total moment   0.00 μB per cell
Mass density   6.3 g/cm3


Entry 13:
An optimized crystal structure of YGaCo, computed with GGA-PBE.

The structure in POSCAR format:
```
YGaCo
1.0
7.0409 0.0000 0.0000
0.0000 4.3990 0.0000
0.0000 0.0000 6.8953
Co Ga Y
4 4 4
Direct
0.8448 0.2500 0.0659 Co
0.3448 0.2500 0.4341 Co
0.6552 0.7500 0.5659 Co
0.1552 0.7500 0.9341 Co
0.1947 0.2500 0.1045 Ga
0.6947 0.2500 0.3955 Ga
0.3053 0.7500 0.6045 Ga
0.8053 0.7500 0.8955 Ga
0.4798 0.7500 0.1957 Y
0.9798 0.7500 0.3043 Y
0.0202 0.2500 0.6957 Y
0.5202 0.2500 0.8043 Y
```

Calculated values
Electronic total energy   -6.0264 eV/atom
Size of the total moment   0.00 μB per cell
Mass density   6.8 g/cm3


Entry 14:
An optimized crystal structure of Y3Ga4Co2, computed with GGA-PBE.

The structure in POSCAR format:
```
Y3Ga4Co2
1.0
5.2820 -2.1212 0.0000
5.2820 2.1212 0.0000
-2.3394 0.0000 7.7716
Co Ga Y
2 4 3
Direct
0.3143 0.3143 0.1375 Co
0.6857 0.6857 0.8625 Co
0.8986 0.8986 0.0940 Ga
0.2815 0.2815 0.4200 Ga
0.7185 0.7185 0.5800 Ga
0.1014 0.1014 0.9060 Ga
0.6250 0.6250 0.1891 Y
0.0000 0.0000 0.5000 Y
0.3750 0.3750 0.8109 Y
```

Calculated values
Electronic total energy   -5.6266 eV/atom
Size of the total moment   0.04 μB per cell
Mass density   6.3 g/cm3


Entry 15:
An optimized crystal structure of YGaCo, computed with GGA-PBE.

The structure in POSCAR format:
```
YGaCo
1.0
4.7029 0.0000 0.0000
-2.3515 4.0728 0.0000
0.0000 0.0000 5.7370
Co Ga Y
2 2 2
Direct
0.0000 0.0000 0.0000 Co
0.0000 0.0000 0.5000 Co
0.3333 0.6667 0.2500 Ga
0.6667 0.3333 0.7500 Ga
0.6667 0.3333 0.2500 Y
0.3333 0.6667 0.7500 Y
```

Calculated values
Electronic total energy   -5.5623 eV/atom
Size of the total moment   0.16 μB per cell
Mass density   6.6 g/cm3


Entry 16:
An optimized crystal structure of YGaCo, computed with GGA-PBE.

The structure in POSCAR format:
```
YGaCo
1.0
-3.0838 2.8237 1.2709
-0.1748 3.9896 -1.7748
-3.2613 1.0424 -2.7157
Co Ga Y
1 1 1
Direct
0.0000 0.0000 0.0000 Co
0.2500 0.2500 0.2500 Ga
0.7500 0.7500 0.7500 Y
```

Calculated values
Electronic total energy   -5.7567 eV/atom
Size of the total moment   0.00 μB per cell
Mass density   6.1 g/cm3


Entry 17:
An optimized crystal structure of ZnGa2Co, computed with GGA-PBE.

The structure in POSCAR format:
```
ZnGa2Co
1.0
0.0000 3.0373 3.0373
3.0373 0.0000 3.0373
3.0373 3.0373 0.0000
Co Ga Zn
1 2 1
Direct
0.2500 0.2500 0.2500 Co
0.0000 0.0000 0.0000 Ga
0.7500 0.7500 0.7500 Ga
0.5000 0.5000 0.5000 Zn
```

Calculated values
Electronic total energy   -3.4531 eV/atom
Size of the total moment   0.01 μB per cell
Mass density   7.8 g/cm3


Entry 18:
An optimized crystal structure of ZnGaCo2, computed with GGA-PBE.

The structure in POSCAR format:
```
ZnGaCo2
1.0
-3.4721 1.0316 1.8310
-0.0555 -2.5088 -3.1899
0.6653 -5.7080 4.4777
Co Ga Zn
4 2 2
Direct
0.6667 0.3333 0.0903 Co
0.6667 0.3333 0.4097 Co
0.3333 0.6667 0.5903 Co
0.3333 0.6667 0.9097 Co
0.0000 0.0000 0.0000 Ga
0.0000 0.0000 0.5000 Ga
0.3333 0.6667 0.2500 Zn
0.6667 0.3333 0.7500 Zn
```

Calculated values
Electronic total energy   -4.6727 eV/atom
Size of the total moment   3.96 μB per cell
Mass density   8.1 g/cm3


Entry 19:
An optimized crystal structure of ZnGa4Co5, computed with GGA-PBE.

The structure in POSCAR format:
```
ZnGa4Co5
1.0
2.8774 0.0000 0.0000
0.0000 2.8774 0.0000
0.0000 0.0000 14.3566
Co Ga Zn
5 4 1
Direct
0.5000 0.5000 0.1033 Co
0.5000 0.5000 0.3010 Co
0.5000 0.5000 0.5000 Co
0.5000 0.5000 0.6990 Co
0.5000 0.5000 0.8967 Co
0.0000 0.0000 0.1978 Ga
0.0000 0.0000 0.3996 Ga
0.0000 0.0000 0.6004 Ga
0.0000 0.0000 0.8022 Ga
0.0000 0.0000 0.0000 Zn
```

Calculated values
Electronic total energy   -5.1319 eV/atom
Size of the total moment   0.01 μB per cell
Mass density   8.9 g/cm3


Entry 20:
An optimized crystal structure of ZnGaCo2, computed with GGA-PBE.

The structure in POSCAR format:
```
ZnGaCo2
1.0
-3.8921 -1.0970 -0.9466
3.1797 -1.5298 -2.1902
0.4550 -5.4978 4.5005
Co Ga Zn
4 2 2
Direct
0.3333 0.6667 0.0868 Co
0.3333 0.6667 0.4132 Co
0.6667 0.3333 0.5868 Co
0.6667 0.3333 0.9132 Co
0.6667 0.3333 0.2500 Ga
0.3333 0.6667 0.7500 Ga
0.0000 0.0000 0.2500 Zn
0.0000 0.0000 0.7500 Zn
```

Calculated values
Electronic total energy   -4.4794 eV/atom
Size of the total moment   5.08 μB per cell
Mass density   7.9 g/cm3


Entry 21:
An optimized crystal structure of ZnGaCo2, computed with GGA-PBE.

The structure in POSCAR format:
```
ZnGaCo2
1.0
0.0000 2.9048 2.9048
2.9048 0.0000 2.9048
2.9048 2.9048 0.0000
Co Ga Zn
2 1 1
Direct
0.5000 0.5000 0.5000 Co
0.7500 0.7500 0.7500 Co
0.0000 0.0000 0.0000 Ga
0.2500 0.2500 0.2500 Zn
```

Calculated values
Electronic total energy   -4.5477 eV/atom
Size of the total moment   0.14 μB per cell
Mass density   8.6 g/cm3


Entry 22:
An optimized crystal structure of ZnGaCo, computed with GGA-PBE.

The structure in POSCAR format:
```
ZnGaCo
1.0
0.0000 2.8265 2.8265
2.8265 0.0000 2.8265
2.8265 2.8265 0.0000
Co Ga Zn
1 1 1
Direct
0.2500 0.2500 0.2500 Co
0.7500 0.7500 0.7500 Ga
0.0000 0.0000 0.0000 Zn
```

Calculated values
Electronic total energy   -3.5113 eV/atom
Size of the total moment   0.37 μB per cell
Mass density   7.1 g/cm3


Entry 23:
An optimized crystal structure of ZnGaCo2, computed with GGA-PBE.

The structure in POSCAR format:
```
ZnGaCo2
1.0
2.0433 -3.5391 0.0000
2.0433 3.5391 0.0000
0.0000 0.0000 7.2185
Co Ga Zn
4 2 2
Direct
0.6667 0.3333 0.0896 Co
0.6667 0.3333 0.4104 Co
0.3333 0.6667 0.5896 Co
0.3333 0.6667 0.9104 Co
0.3333 0.6667 0.2500 Ga
0.6667 0.3333 0.7500 Ga
0.0000 0.0000 0.0000 Zn
0.0000 0.0000 0.5000 Zn
```

Calculated values
Electronic total energy   -4.6739 eV/atom
Size of the total moment   4.51 μB per cell
Mass density   8.0 g/cm3